--- a ---
First-principles (PBE) data for a relaxed structure of BaTc3C, as listed in Alexandria via LeMat-Bulk.

The structure in CIF format:
```
data_BaTc3C
_symmetry_space_group_name_H-M 'P m -3 m'
_symmetry_Int_Tables_number 221
_symmetry_space_group_name_Hall '-P 4 2 3'
_cell_length_a 4.3530
_cell_length_b 4.3530
_cell_length_c 4.3530
_cell_angle_alpha 90.00
_cell_angle_beta 90.00
_cell_angle_gamma 90.00
loop_
_atom_site_label
_atom_site_type_symbol
_atom_site_fract_x
_atom_site_fract_y
_atom_site_fract_z
Ba1 Ba 0.0000 0.0000 0.0000
Tc1 Tc 0.0000 0.5000 0.5000
C1 C 0.5000 0.5000 0.5000
```



--- b ---
First-principles (PBE) data for a relaxed structure of BaTc3C, as listed in Alexandria via LeMat-Bulk.

The structure in CIF format:
```
data_BaTc3C
_symmetry_space_group_name_H-M 'P m -3 m'
_symmetry_Int_Tables_number 221
_symmetry_space_group_name_Hall '-P 4 2 3'
_cell_length_a 5.1274
_cell_length_b 5.1274
_cell_length_c 5.1274
_cell_angle_alpha 90.00
_cell_angle_beta 90.00
_cell_angle_gamma 90.00
loop_
_atom_site_label
_atom_site_type_symbol
_atom_site_fract_x
_atom_site_fract_y
_atom_site_fract_z
Ba1 Ba 0.0000 0.0000 0.0000
Tc1 Tc 0.0000 0.0000 0.5000
C1 C 0.5000 0.5000 0.5000
```



Relative energy table, unit meV/atom: a 0; b 3326



--- a ---
First-principles (PBE) data for a relaxed structure of BaTi3C, as listed in Alexandria via LeMat-Bulk.

The structure in CIF format:
```
data_BaTi3C
_symmetry_space_group_name_H-M 'P m -3 m'
_symmetry_Int_Tables_number 221
_symmetry_space_group_name_Hall '-P 4 2 3'
_cell_length_a 4.9351
_cell_length_b 4.9351
_cell_length_c 4.9351
_cell_angle_alpha 90.00
_cell_angle_beta 90.00
_cell_angle_gamma 90.00
loop_
_atom_site_label
_atom_site_type_symbol
_atom_site_fract_x
_atom_site_fract_y
_atom_site_fract_z
Ba1 Ba 0.0000 0.0000 0.0000
Ti1 Ti 0.0000 0.0000 0.5000
C1 C 0.5000 0.5000 0.5000
```



--- b ---
First-principles (PBE) data for a relaxed structure of BaTi3C, as listed in Alexandria via LeMat-Bulk.

The structure in CIF format:
```
data_BaTi3C
_symmetry_space_group_name_H-M 'P m -3 m'
_symmetry_Int_Tables_number 221
_symmetry_space_group_name_Hall '-P 4 2 3'
_cell_length_a 4.4700
_cell_length_b 4.4700
_cell_length_c 4.4700
_cell_angle_alpha 90.00
_cell_angle_beta 90.00
_cell_angle_gamma 90.00
loop_
_atom_site_label
_atom_site_type_symbol
_atom_site_fract_x
_atom_site_fract_y
_atom_site_fract_z
Ba1 Ba 0.0000 0.0000 0.0000
Ti1 Ti 0.0000 0.5000 0.5000
C1 C 0.5000 0.5000 0.5000
```



Relative energy table, unit meV/atom: a 2659; b 0



--- a ---
First-principles (PBE) data for a relaxed structure of BaTl3C, as listed in Alexandria via LeMat-Bulk.

The structure in CIF format:
```
data_BaTl3C
_symmetry_space_group_name_H-M 'P m -3 m'
_symmetry_Int_Tables_number 221
_symmetry_space_group_name_Hall '-P 4 2 3'
_cell_length_a 5.2505
_cell_length_b 5.2505
_cell_length_c 5.2505
_cell_angle_alpha 90.00
_cell_angle_beta 90.00
_cell_angle_gamma 90.00
loop_
_atom_site_label
_atom_site_type_symbol
_atom_site_fract_x
_atom_site_fract_y
_atom_site_fract_z
Ba1 Ba 0.0000 0.0000 0.0000
Tl1 Tl 0.0000 0.5000 0.5000
C1 C 0.5000 0.5000 0.5000
```



--- b ---
First-principles (PBE) data for a relaxed structure of BaTl3C, as listed in Alexandria via LeMat-Bulk.

The structure in CIF format:
```
data_BaTl3C
_symmetry_space_group_name_H-M 'P m -3 m'
_symmetry_Int_Tables_number 221
_symmetry_space_group_name_Hall '-P 4 2 3'
_cell_length_a 6.6687
_cell_length_b 6.6687
_cell_length_c 6.6687
_cell_angle_alpha 90.00
_cell_angle_beta 90.00
_cell_angle_gamma 90.00
loop_
_atom_site_label
_atom_site_type_symbol
_atom_site_fract_x
_atom_site_fract_y
_atom_site_fract_z
Ba1 Ba 0.0000 0.0000 0.0000
Tl1 Tl 0.0000 0.0000 0.5000
C1 C 0.5000 0.5000 0.5000
```



Relative energy table, unit meV/atom: a 0; b 1203



--- a ---
First-principles (PBE) data for a relaxed structure of BaTl2C, as listed in Alexandria via LeMat-Bulk.

The structure in CIF format:
```
data_BaTl2C
_symmetry_space_group_name_H-M 'I -4 2 d'
_symmetry_Int_Tables_number 122
_symmetry_space_group_name_Hall 'I -4 2bw'
_cell_length_a 8.4456
_cell_length_b 8.4456
_cell_length_c 6.1709
_cell_angle_alpha 90.00
_cell_angle_beta 90.00
_cell_angle_gamma 90.00
loop_
_atom_site_label
_atom_site_type_symbol
_atom_site_fract_x
_atom_site_fract_y
_atom_site_fract_z
Ba1 Ba 0.0000 0.0000 0.0000
Tl1 Tl 0.1538 0.7500 0.6250
C1 C 0.0000 0.0000 0.5000
```



--- b ---
First-principles (PBE) data for a relaxed structure of BaTl2C, as listed in Alexandria via LeMat-Bulk.

The structure in CIF format:
```
data_BaTl2C
_symmetry_space_group_name_H-M 'F m -3 m'
_symmetry_Int_Tables_number 225
_symmetry_space_group_name_Hall '-F 4 2 3'
_cell_length_a 7.6573
_cell_length_b 7.6573
_cell_length_c 7.6573
_cell_angle_alpha 90.00
_cell_angle_beta 90.00
_cell_angle_gamma 90.00
loop_
_atom_site_label
_atom_site_type_symbol
_atom_site_fract_x
_atom_site_fract_y
_atom_site_fract_z
Ba1 Ba 0.0000 0.0000 0.0000
Tl1 Tl 0.2500 0.2500 0.2500
C1 C 0.0000 0.0000 0.5000
```



Relative energy table, unit meV/atom: a 0; b 444



--- a ---
First-principles (PBE) data for a relaxed structure of BaTlC3, as listed in Alexandria via LeMat-Bulk.

The structure in CIF format:
```
data_BaTlC3
_symmetry_space_group_name_H-M 'P m -3 m'
_symmetry_Int_Tables_number 221
_symmetry_space_group_name_Hall '-P 4 2 3'
_cell_length_a 4.6035
_cell_length_b 4.6035
_cell_length_c 4.6035
_cell_angle_alpha 90.00
_cell_angle_beta 90.00
_cell_angle_gamma 90.00
loop_
_atom_site_label
_atom_site_type_symbol
_atom_site_fract_x
_atom_site_fract_y
_atom_site_fract_z
Ba1 Ba 0.0000 0.0000 0.0000
Tl1 Tl 0.5000 0.5000 0.5000
C1 C 0.0000 0.5000 0.5000
```



--- b ---
First-principles (PBE) data for a relaxed structure of BaTlC3, as listed in Alexandria via LeMat-Bulk.

The structure in CIF format:
```
data_BaTlC3
_symmetry_space_group_name_H-M 'P m -3 m'
_symmetry_Int_Tables_number 221
_symmetry_space_group_name_Hall '-P 4 2 3'
_cell_length_a 5.2903
_cell_length_b 5.2903
_cell_length_c 5.2903
_cell_angle_alpha 90.00
_cell_angle_beta 90.00
_cell_angle_gamma 90.00
loop_
_atom_site_label
_atom_site_type_symbol
_atom_site_fract_x
_atom_site_fract_y
_atom_site_fract_z
Ba1 Ba 0.0000 0.0000 0.0000
Tl1 Tl 0.5000 0.5000 0.5000
C1 C 0.0000 0.0000 0.5000
```



Relative energy table, unit meV/atom: a 0; b 768



--- a ---
First-principles (PBE) data for a relaxed structure of BaW3C, as listed in Alexandria via LeMat-Bulk.

The structure in CIF format:
```
data_BaW3C
_symmetry_space_group_name_H-M 'P m -3 m'
_symmetry_Int_Tables_number 221
_symmetry_space_group_name_Hall '-P 4 2 3'
_cell_length_a 4.9881
_cell_length_b 4.9881
_cell_length_c 4.9881
_cell_angle_alpha 90.00
_cell_angle_beta 90.00
_cell_angle_gamma 90.00
loop_
_atom_site_label
_atom_site_type_symbol
_atom_site_fract_x
_atom_site_fract_y
_atom_site_fract_z
Ba1 Ba 0.0000 0.0000 0.0000
W1 W 0.0000 0.0000 0.5000
C1 C 0.5000 0.5000 0.5000
```



--- b ---
First-principles (PBE) data for a relaxed structure of BaW3C, as listed in Alexandria via LeMat-Bulk.

The structure in CIF format:
```
data_BaW3C
_symmetry_space_group_name_H-M 'P m -3 m'
_symmetry_Int_Tables_number 221
_symmetry_space_group_name_Hall '-P 4 2 3'
_cell_length_a 4.4288
_cell_length_b 4.4288
_cell_length_c 4.4288
_cell_angle_alpha 90.00
_cell_angle_beta 90.00
_cell_angle_gamma 90.00
loop_
_atom_site_label
_atom_site_type_symbol
_atom_site_fract_x
_atom_site_fract_y
_atom_site_fract_z
Ba1 Ba 0.0000 0.0000 0.0000
W1 W 0.0000 0.5000 0.5000
C1 C 0.5000 0.5000 0.5000
```



Relative energy table, unit meV/atom: a 3878; b 0